{
  "formula": "Mn2CoAs",
  "functional": "GGA-PBE",
  "state": "relaxed",
  "mass_density_g_cm3": 8.55,
  "total_magnetization_mub_per_fu": 4.00,
  "total_energy_ev_per_cell": -30.357,
  "e_form_ev_per_atom": -0.07,
  "lattice_angstrom": [[4.0601, 0.0000, 0.0000], [2.0300, 3.5161, 0.0000], [2.0300, 1.1720, 3.3150]],
  "species": ["As", "Mn", "Mn", "Co"],
  "fractional_positions": [[0.5000, 0.5000, 0.5000], [0.0000, 0.0000, 0.0000], [0.2500, 0.2500, 0.2500], [0.7500, 0.7500, 0.7500]]
}

***

{
  "formula": "AcBiRuRh",
  "functional": "GGA-PBE",
  "state": "relaxed",
  "mass_density_g_cm3": 12.05,
  "total_magnetization_mub_per_fu": 0.00,
  "total_energy_ev_per_cell": -24.936,
  "e_form_ev_per_atom": -0.08,
  "lattice_angstrom": [[-0.4561, -3.5962, 3.4392], [2.5191, -4.2845, -0.5160], [3.8180, -1.0366, 3.0524]],
  "species": ["Ac", "Ru", "Rh", "Bi"],
  "fractional_positions": [[0.2500, 0.2500, 0.2500], [0.0000, 0.0000, 0.0000], [0.5000, 0.5000, 0.5000], [0.7500, 0.7500, 0.7500]]
}

***

{
  "formula": "HfSiMoIr2",
  "functional": "GGA-PBE",
  "state": "relaxed",
  "mass_density_g_cm3": 10.37,
  "total_magnetization_mub_per_fu": 0.00,
  "total_energy_ev_per_cell": -37.128,
  "raw_formation_energy_ev_per_atom": 1.36,
  "lattice_angstrom": [[-4.2489, -1.1405, -1.6663], [-0.6579, -3.1204, 3.8135], [-1.9208, 3.4800, 2.5161]],
  "species": ["Ir", "Ir", "Hf", "Mo", "Si"],
  "fractional_positions": [[0.0000, 0.0000, 0.5000], [0.5000, 0.0000, 0.0000], [0.0000, 0.5000, 0.0000], [0.0000, 0.0000, 0.0000], [0.5000, 0.5000, 0.5000]]
}

***

{
  "formula": "RbPd2Pt2",
  "functional": "GGA-PBE",
  "state": "relaxed",
  "mass_density_g_cm3": 12.03,
  "total_magnetization_mub_per_fu": 0.00,
  "total_energy_ev_per_cell": -45.824,
  "e_above_lowest_polymorph_mev_per_atom": 0,
  "e_form_ev_per_atom": 0.10,
  "lattice_angstrom": [[8.2489, 0.0000, 0.0000], [0.0000, 8.2489, 0.0000], [0.0000, 0.0000, 2.7935]],
  "species": ["Rb", "Rb", "Pd", "Pd", "Pd", "Pd", "Pt", "Pt", "Pt", "Pt"],
  "fractional_positions": [[0.5000, 0.5000, 0.0000], [0.0000, 0.0000, 0.0000], [0.3187, 0.1813, 0.5000], [0.6813, 0.8187, 0.5000], [0.8187, 0.3187, 0.5000], [0.1813, 0.6813, 0.5000], [0.1174, 0.3826, 0.0000], [0.6174, 0.1174, 0.0000], [0.3826, 0.8826, 0.0000], [0.8826, 0.6174, 0.0000]]
}